{
  "formula": "BiCOF2",
  "functional": "PBE",
  "state": "optimized geometry",
  "cell": [[4.7032, 0.0000, 0.0000], [0.0000, 4.7032, 0.0000], [0.0000, 0.0000, 3.0016]],
  "species": ["Bi", "C", "O", "F", "F"],
  "fractional_positions": [[0.0000, 0.0000, 0.0000], [0.5000, 0.5000, 0.5000], [0.5000, 0.5000, 0.0000], [0.0000, 0.5000, 0.5000], [0.5000, 0.0000, 0.5000]],
  "vol_a3_per_atom": 13.3,
  "magnetic_moment_mub_per_fu": 0.00,
  "dos_ef_per_ev_atom": 0.502,
  "e_above_lowest_polymorph_mev_per_atom": 0.0,
  "density_g_cm3": 6.9,
  "e_form_raw_ev_per_atom": -0.03
}